DFT (GGA+U) results for a relaxed structure of Ca2PaMnO6.

a = 5.610 Å, b = 5.769 Å, c = 8.060 Å
α = 90.00°, β = 88.57°, γ = 90.00°
Fractional coordinates of all 20 atoms:
Ca 0.519 0.553 0.753
O 0.192 0.212 0.445
O 0.692 0.288 0.945
Pa 0.500 0.000 0.500
O 0.715 0.304 0.557
Ca 0.481 0.447 0.247
O 0.107 0.463 0.740
O 0.308 0.712 0.055
O 0.215 0.196 0.057
Pa 0.000 0.500 0.000
O 0.785 0.804 0.943
Ca 0.981 0.053 0.747
Mn 0.500 0.000 0.000
O 0.285 0.696 0.443
O 0.808 0.788 0.555
O 0.893 0.537 0.260
Mn 0.000 0.500 0.500
O 0.393 0.963 0.760
Ca 0.019 0.947 0.253
O 0.607 0.037 0.240

Computed properties:
DOS(E_F)	0.000	states/eV/atom
magnetic moment	0.200	μB/atom
total energy	-156.579	eV for the cell shown